Entry 1:
FeCuB4 after structural relaxation, computed with PBE-GGA.

Properties
V = 8.3 Å³/atom
Energy above the lowest structure with this stoichiometry = 0.10 eV per formula unit

Unit cell a=2.992 b=5.141 c=6.438 alpha=90.00 beta=90.00 gamma=90.00
Space group Immm (No. 71)
Inequivalent atoms, fractional coordinates:
Fe1 0.000 0.000 0.000 x2
Cu1 0.000 0.000 0.500 x2
B1 0.000 0.330 0.257 x8


Entry 2:
FeCu2B after structural relaxation, computed with PBE-GGA.

Properties
V = 10.3 Å³/atom
VASP energy = -82.9 eV per cell

Unit cell a=5.480 b=5.480 c=5.480 alpha=90.00 beta=90.00 gamma=90.00
Space group F-43m (No. 216)
Inequivalent atoms, fractional coordinates:
Fe1 0.000 0.000 0.000 x4
Cu1 0.000 0.000 0.500 x4
Cu2 0.250 0.250 0.250 x4
B1 0.250 0.250 0.750 x4


Entry 3:
FeCuB2 after structural relaxation, computed with PBE-GGA.

Properties
V = 8.4 Å³/atom
Energy above the lowest structure with this stoichiometry = 0.00 eV per formula unit

Unit cell a=2.996 b=2.997 c=7.472 alpha=90.00 beta=90.00 gamma=90.00
Space group Amm2 (No. 38)
Inequivalent atoms, fractional coordinates:
Fe1 0.000 0.000 0.000 x2
Cu1 0.500 0.000 0.709 x2
B1 0.000 0.000 0.299 x2
B2 0.500 0.000 0.427 x2


Among the records above, which one has the lowest V?
FeCuB4


V of number 3 (FeCuB2)?
8.4 Å³/atom


Which formula does entry 3 have?
FeCuB2


Which of these has the lowest V?
FeCuB4